Compound: NbCrF3
Source: Alexandria via LeMat-Bulk
Functional: GGA+U
Structure: optimized geometry

Lattice parameters (Å, degrees): 4.204 4.204 4.204 90.00 90.00 90.00
Fractional positions:
Nb: 0.000 0.000 0.000
Cr: 0.500 0.500 0.500
F: 0.000 0.500 0.500
F: 0.500 0.000 0.500
F: 0.500 0.500 0.000

Output
* polymorph energy (0 for the lowest one): 9.49 kcal/mol of atoms
* calculated density: 4.51 Mg/m³
* total energy: -28.81 eV for the cell shown
* calculated volume: 14.863 Å³ per atom